*one*
Below is crystalline YOsNF2 at its relaxed geometry, with properties calculated at the GGA-PBE level.

The structure belongs to space group P4/mmm (No. 123); the cell edges are 4.503, 4.503 and 3.734 Å and the angles 90.00°, 90.00° and 90.00°. Symmetry generates all atoms from Y at (0.000, 0.000, 0.000), Os at (0.500, 0.500, 0.500), N at (0.500, 0.500, 0.000) and F at (0.000, 0.500, 0.500).

*two*
Below is crystalline YOsNF2 at its relaxed geometry, with properties calculated at the GGA-PBE level.

The structure belongs to space group P4/mmm (No. 123); the cell edges are 4.187, 4.187 and 4.933 Å and the angles 90.00°, 90.00° and 90.00°. Symmetry generates all atoms from Y at (0.000, 0.000, 0.000), Os at (0.500, 0.500, 0.500), N at (0.000, 0.000, 0.500) and F at (0.000, 0.500, 0.000).

Most stable structure: *one*

*one*
Below is crystalline ZnOsNF2 at its relaxed geometry, with properties calculated at the GGA-PBE level.

The structure belongs to space group P4/mmm (No. 123); the cell edges are 4.291, 4.291 and 3.753 Å and the angles 90.00°, 90.00° and 90.00°. Symmetry generates all atoms from Zn at (0.000, 0.000, 0.000), Os at (0.500, 0.500, 0.500), N at (0.500, 0.500, 0.000) and F at (0.000, 0.500, 0.500).

*two*
Below is crystalline ZnOsNF2 at its relaxed geometry, with properties calculated at the GGA-PBE level.

The structure belongs to space group P4/mmm (No. 123); the cell edges are 3.608, 3.608 and 5.299 Å and the angles 90.00°, 90.00° and 90.00°. Symmetry generates all atoms from Zn at (0.000, 0.000, 0.000), Os at (0.500, 0.500, 0.500), N at (0.000, 0.000, 0.500) and F at (0.000, 0.500, 0.000).

Most stable structure: *one*

*one*
Below is crystalline P2NF at its relaxed geometry, with properties calculated at the GGA-PBE level.

The structure belongs to space group I-42d (No. 122); the cell edges are 4.092, 4.092 and 12.435 Å and the angles 90.00°, 90.00° and 90.00°. Symmetry generates all atoms from P at (0.108, 0.250, 0.125), N at (0.000, 0.000, 0.000) and F at (0.000, 0.000, 0.500).

*two*
Below is crystalline P2NF at its relaxed geometry, with properties calculated at the GGA-PBE level.

The structure belongs to space group Fm-3m (No. 225); the cell edges are 5.660, 5.660 and 5.660 Å and the angles 90.00°, 90.00° and 90.00°. Symmetry generates all atoms from P at (0.250, 0.250, 0.250), N at (0.000, 0.000, 0.000) and F at (0.000, 0.000, 0.500).

Most stable structure: *one*

*one*
Below is crystalline PPbNF2 at its relaxed geometry, with properties calculated at the GGA-PBE level.

The structure belongs to space group P4/mmm (No. 123); the cell edges are 4.454, 4.454 and 4.597 Å and the angles 90.00°, 90.00° and 90.00°. Symmetry generates all atoms from P at (0.000, 0.000, 0.000), Pb at (0.500, 0.500, 0.500), N at (0.500, 0.500, 0.000) and F at (0.000, 0.500, 0.500).

*two*
Below is crystalline PPbNF2 at its relaxed geometry, with properties calculated at the GGA-PBE level.

The structure belongs to space group P4/mmm (No. 123); the cell edges are 4.631, 4.631 and 3.432 Å and the angles 90.00°, 90.00° and 90.00°. Symmetry generates all atoms from P at (0.000, 0.000, 0.000), Pb at (0.500, 0.500, 0.500), N at (0.000, 0.000, 0.500) and F at (0.000, 0.500, 0.000).

Most stable structure: *two*

*one*
Below is crystalline PPtNF2 at its relaxed geometry, with properties calculated at the GGA-PBE level.

The structure belongs to space group P4/mmm (No. 123); the cell edges are 4.474, 4.474 and 3.725 Å and the angles 90.00°, 90.00° and 90.00°. Symmetry generates all atoms from P at (0.000, 0.000, 0.000), Pt at (0.500, 0.500, 0.500), N at (0.500, 0.500, 0.000) and F at (0.000, 0.500, 0.500).

*two*
Below is crystalline PPtNF2 at its relaxed geometry, with properties calculated at the GGA-PBE level.

The structure belongs to space group P4/mmm (No. 123); the cell edges are 4.449, 4.449 and 3.214 Å and the angles 90.00°, 90.00° and 90.00°. Symmetry generates all atoms from P at (0.000, 0.000, 0.000), Pt at (0.500, 0.500, 0.500), N at (0.000, 0.000, 0.500) and F at (0.000, 0.500, 0.000).

Most stable structure: *two*

*one*
Below is crystalline RbPNF2 at its relaxed geometry, with properties calculated at the GGA-PBE level.

The structure belongs to space group P4/mmm (No. 123); the cell edges are 5.296, 5.296 and 5.586 Å and the angles 90.00°, 90.00° and 90.00°. Symmetry generates all atoms from Rb at (0.000, 0.000, 0.000), P at (0.500, 0.500, 0.500), N at (0.000, 0.000, 0.500) and F at (0.000, 0.500, 0.000).

*two*
Below is crystalline RbPNF2 at its relaxed geometry, with properties calculated at the GGA-PBE level.

The structure belongs to space group P4/mmm (No. 123); the cell edges are 4.638, 4.638 and 3.347 Å and the angles 90.00°, 90.00° and 90.00°. Symmetry generates all atoms from Rb at (0.000, 0.000, 0.000), P at (0.500, 0.500, 0.500), N at (0.500, 0.500, 0.000) and F at (0.000, 0.500, 0.500).

Most stable structure: *two*